Entry 1:
NdGdTm: relaxed, PBE.

The structure in POSCAR format:
```
NdGdTm
1.0
-1.802 1.802 7.542
1.802 -1.802 7.542
1.802 1.802 -7.542
Nd Gd Tm
1 1 1
Direct
0.000 0.000 0.000
0.329 0.329 0.000
0.665 0.665 0.000
```

Values from the calculation:
magnetic moment: 7.4 μB per formula unit
relative energy among the computed polymorphs: 0 meV per atom
space-group type: No. 107
ΔE_f: 0.02 eV/atom

=====

Entry 2:
NdGdTm2: relaxed, PBE.

The structure in POSCAR format:
```
NdGdTm2
1.0
5.056 0.000 0.000
0.000 5.056 0.000
0.000 0.000 4.977
Nd Gd Tm
1 1 2
Direct
0.000 0.000 0.000
0.500 0.500 0.000
0.000 0.500 0.500
0.500 0.000 0.500
```

Values from the calculation:
magnetic moment: 7.3 μB per formula unit
relative energy among the computed polymorphs: 0 meV per atom
space-group type: No. 123
ΔE_f: 0.02 eV/atom

=====

Entry 3:
NdGd2Tm: relaxed, PBE.

The structure in POSCAR format:
```
NdGd2Tm
1.0
5.052 0.000 0.000
0.000 5.052 0.000
0.000 0.000 5.083
Nd Gd Tm
1 2 1
Direct
0.000 0.000 0.000
0.000 0.500 0.500
0.500 0.000 0.500
0.500 0.500 0.000
```

Values from the calculation:
magnetic moment: 14.6 μB per formula unit
relative energy among the computed polymorphs: 0 meV per atom
space-group type: No. 123
ΔE_f: 0.02 eV/atom

=====

Entry 4:
NdGd4Tm: relaxed, PBE.

The structure in POSCAR format:
```
NdGd4Tm
1.0
0.000 4.663 4.663
4.663 0.000 4.663
4.663 4.663 0.000
Nd Gd Tm
1 4 1
Direct
0.000 0.000 0.000
0.375 0.375 0.375
0.375 0.375 0.874
0.375 0.874 0.375
0.874 0.375 0.375
0.750 0.750 0.750
```

Values from the calculation:
magnetic moment: 28.7 μB per formula unit
space-group type: No. 216
ΔE_f: 0.25 eV/atom

=====

Entry 5:
NdGdYTm: relaxed, PBE.

The structure in POSCAR format:
```
NdGdYTm
1.0
0.000 4.034 4.034
4.034 0.000 4.034
4.034 4.034 0.000
Nd Gd Y Tm
1 1 1 1
Direct
0.000 0.000 0.000
0.500 0.500 0.500
0.250 0.250 0.250
0.750 0.750 0.750
```

Values from the calculation:
magnetic moment: 7.6 μB per formula unit
space-group type: No. 216
ΔE_f: 0.10 eV/atom

=====

Entry 6:
NdGdTmZn: relaxed, PBE.

The structure in POSCAR format:
```
NdGdTmZn
1.0
0.000 3.806 3.806
3.806 0.000 3.806
3.806 3.806 0.000
Nd Gd Tm Zn
1 1 1 1
Direct
0.000 0.000 0.000
0.500 0.500 0.500
0.250 0.250 0.250
0.750 0.750 0.750
```

Values from the calculation:
magnetic moment: 7.6 μB per formula unit
space-group type: No. 216
ΔE_f: 0.01 eV/atom

=====

Entry 7:
NdGd2V: relaxed, PBE.

The structure in POSCAR format:
```
NdGd2V
1.0
1.707 0.986 11.522
-1.707 0.986 11.522
0.000 -1.971 11.522
Nd Gd V
1 2 1
Direct
0.000 0.000 0.000
0.421 0.421 0.421
0.579 0.579 0.579
0.500 0.500 0.500
```

Values from the calculation:
magnetic moment: 11.5 μB per formula unit
space-group type: No. 166
ΔE_f: 0.59 eV/atom

=====

Entry 8:
NdGd2Y: relaxed, PBE.

The structure in POSCAR format:
```
NdGd2Y
1.0
3.609 0.000 0.000
0.000 3.609 0.000
0.000 0.000 10.185
Nd Gd Y
1 2 1
Direct
0.000 0.000 0.000
0.500 0.500 0.252
0.500 0.500 0.748
0.000 0.000 0.500
```

Values from the calculation:
magnetic moment: 14.5 μB per formula unit
relative energy among the computed polymorphs: 5 meV per atom
space-group type: No. 123
ΔE_f: 0.03 eV/atom

=====

Entry 9:
NdGd2Y: relaxed, PBE.

The structure in POSCAR format:
```
NdGd2Y
1.0
5.090 0.000 0.000
0.000 5.090 0.000
0.000 0.000 5.108
Nd Gd Y
1 2 1
Direct
0.000 0.000 0.000
0.000 0.500 0.500
0.500 0.000 0.500
0.500 0.500 0.000
```

Values from the calculation:
magnetic moment: 14.6 μB per formula unit
relative energy among the computed polymorphs: 0 meV per atom
space-group type: No. 123
ΔE_f: 0.02 eV/atom

=====

Entry 10:
NdGd2Y: relaxed, PBE.

The structure in POSCAR format:
```
NdGd2Y
1.0
1.802 1.041 11.785
-1.802 1.041 11.785
0.000 -2.081 11.785
Nd Gd Y
1 2 1
Direct
0.000 0.000 0.000
0.249 0.249 0.249
0.751 0.751 0.751
0.500 0.500 0.500
```

Values from the calculation:
magnetic moment: 14.6 μB per formula unit
relative energy among the computed polymorphs: 2 meV per atom
space-group type: No. 166
ΔE_f: 0.02 eV/atom

=====

Entry 11:
NdGd2Y: relaxed, PBE.

The structure in POSCAR format:
```
NdGd2Y
1.0
0.000 4.051 4.051
4.051 0.000 4.051
4.051 4.051 0.000
Nd Gd Y
1 2 1
Direct
0.000 0.000 0.000
0.250 0.250 0.250
0.750 0.750 0.750
0.500 0.500 0.500
```

Values from the calculation:
magnetic moment: 16.3 μB per formula unit
relative energy among the computed polymorphs: 68 meV per atom
space-group type: No. 225
ΔE_f: 0.09 eV/atom

=====

Entry 12:
NdGdY2: relaxed, PBE.

The structure in POSCAR format:
```
NdGdY2
1.0
0.000 4.058 4.058
4.058 0.000 4.058
4.058 4.058 0.000
Nd Gd Y
1 1 2
Direct
0.000 0.000 0.000
0.500 0.500 0.500
0.250 0.250 0.250
0.750 0.750 0.750
```

Values from the calculation:
magnetic moment: 7.8 μB per formula unit
relative energy among the computed polymorphs: 85 meV per atom
space-group type: No. 225
ΔE_f: 0.10 eV/atom

=====

Entry 13:
Nd4GdY: relaxed, PBE.

The structure in POSCAR format:
```
Nd4GdY
1.0
0.000 4.749 4.749
4.749 0.000 4.749
4.749 4.749 0.000
Nd Gd Y
4 1 1
Direct
0.376 0.376 0.376
0.376 0.376 0.873
0.376 0.873 0.376
0.873 0.376 0.376
0.000 0.000 0.000
0.750 0.750 0.750
```

Values from the calculation:
magnetic moment: 7.7 μB per formula unit
space-group type: No. 216
ΔE_f: 0.23 eV/atom

=====

Entry 14:
NdGdY2: relaxed, PBE.

The structure in POSCAR format:
```
NdGdY2
1.0
3.613 0.000 0.000
0.000 3.613 0.000
0.000 0.000 10.158
Nd Gd Y
1 1 2
Direct
0.000 0.000 0.000
0.000 0.000 0.500
0.500 0.500 0.252
0.500 0.500 0.748
```

Values from the calculation:
magnetic moment: 7.3 μB per formula unit
relative energy among the computed polymorphs: 8 meV per atom
space-group type: No. 123
ΔE_f: 0.03 eV/atom

=====

Entry 15:
NdGdY2: relaxed, PBE.

The structure in POSCAR format:
```
NdGdY2
1.0
5.106 0.000 0.000
0.000 5.106 0.000
0.000 0.000 5.073
Nd Gd Y
1 1 2
Direct
0.000 0.000 0.000
0.500 0.500 0.000
0.000 0.500 0.500
0.500 0.000 0.500
```

Values from the calculation:
magnetic moment: 7.2 μB per formula unit
relative energy among the computed polymorphs: 0 meV per atom
space-group type: No. 123
ΔE_f: 0.02 eV/atom

=====

Entry 16:
NdGdZn2: relaxed, PBE.

The structure in POSCAR format:
```
NdGdZn2
1.0
5.145 0.000 0.000
0.000 5.145 0.000
0.000 0.000 3.665
Nd Gd Zn
1 1 2
Direct
0.000 0.000 0.000
0.500 0.500 0.000
0.000 0.500 0.500
0.500 0.000 0.500
```

Values from the calculation:
magnetic moment: 7.8 μB per formula unit
relative energy among the computed polymorphs: 3 meV per atom
space-group type: No. 123
ΔE_f: -0.33 eV/atom

=====

Entry 17:
Nd2GdZn: relaxed, PBE.

The structure in POSCAR format:
```
Nd2GdZn
1.0
0.000 3.858 3.858
3.858 0.000 3.858
3.858 3.858 0.000
Nd Gd Zn
2 1 1
Direct
0.250 0.250 0.250
0.750 0.750 0.750
0.000 0.000 0.000
0.500 0.500 0.500
```

Values from the calculation:
magnetic moment: 7.8 μB per formula unit
relative energy among the computed polymorphs: 167 meV per atom
space-group type: No. 225
ΔE_f: 0.03 eV/atom

=====

Entry 18:
Nd2GdZn: relaxed, PBE.

The structure in POSCAR format:
```
Nd2GdZn
1.0
3.679 0.000 0.000
0.000 3.679 0.000
0.000 0.000 8.744
Nd Gd Zn
2 1 1
Direct
0.000 0.000 0.209
0.000 0.000 0.791
0.500 0.500 0.500
0.500 0.500 0.000
```

Values from the calculation:
magnetic moment: 7.5 μB per formula unit
relative energy among the computed polymorphs: 0 meV per atom
space-group type: No. 123
ΔE_f: -0.14 eV/atom

=====

Entry 19:
NdGdZn2: relaxed, PBE.

The structure in POSCAR format:
```
NdGdZn2
1.0
1.867 1.078 8.899
-1.867 1.078 8.899
0.000 -2.156 8.899
Nd Gd Zn
1 1 2
Direct
0.000 0.000 0.000
0.500 0.500 0.500
0.248 0.248 0.248
0.752 0.752 0.752
```

Values from the calculation:
magnetic moment: 8.1 μB per formula unit
relative energy among the computed polymorphs: 229 meV per atom
space-group type: No. 166
ΔE_f: -0.10 eV/atom

=====

Entry 20:
Nd2GdZn: relaxed, PBE.

The structure in POSCAR format:
```
Nd2GdZn
1.0
5.520 0.000 0.000
0.000 5.520 0.000
0.000 0.000 3.792
Nd Gd Zn
2 1 1
Direct
0.000 0.500 0.000
0.500 0.000 0.000
0.000 0.000 0.500
0.500 0.500 0.500
```

Values from the calculation:
magnetic moment: 7.1 μB per formula unit
relative energy among the computed polymorphs: 110 meV per atom
space-group type: No. 123
ΔE_f: -0.03 eV/atom